No. 1
Material: PaIn2Rh2
Method: DFT, PBE-GGA
State: optimized geometry

Cell and atoms, written as CIF:
```
data_PaIn2Rh2
_cell_length_a 4.148
_cell_length_b 4.174
_cell_length_c 6.447
_cell_angle_alpha 100.87
_cell_angle_beta 101.11
_cell_angle_gamma 91.22
_space_group_name_H-M_alt 'P -1'
_space_group_IT_number 2
_space_group_name_Hall '-P 1'
loop_
_atom_site_label
_atom_site_type_symbol
_atom_site_fract_x
_atom_site_fract_y
_atom_site_fract_z
Pa1 Pa 0.000 0.000 0.000
In1 In 0.257 0.743 0.501
Rh1 Rh 0.315 0.313 0.816
```

energy relative to the elements	-463	meV/atom

***

No. 2
Material: PaInRh
Method: DFT, PBE-GGA
State: optimized geometry

Cell and atoms, written as CIF:
```
data_PaInRh
_cell_length_a 6.602
_cell_length_b 6.602
_cell_length_c 6.602
_cell_angle_alpha 90.00
_cell_angle_beta 90.00
_cell_angle_gamma 90.00
_space_group_name_H-M_alt 'F -4 3 m'
_space_group_IT_number 216
_space_group_name_Hall 'F -4 2 3'
loop_
_atom_site_label
_atom_site_type_symbol
_atom_site_fract_x
_atom_site_fract_y
_atom_site_fract_z
Pa1 Pa 0.000 0.000 0.000
In1 In 0.000 0.000 0.500
Rh1 Rh 0.250 0.250 0.250
```

energy relative to the elements	-381	meV/atom

***

no.,M_tot (μB/cell)
1,0.00
2,0.01